This record from Alexandria describes an optimized crystal structure of CsPCBr. The functional is GGA-PBE.

Space-group type = Amm2, No. 38
Crystal system = orthorhombic
E above lowest polymorph = 0.044 eV/atom
Total DFT energy (no corrections) = -4.0347 eV per atom
Uncorrected formation energy = 1.02 eV per formula unit

POSCAR file:
```
CsPCBr
1.0
5.460 0.000 0.000
0.000 1.659 6.400
0.000 -1.659 6.400
Cs P C Br
1 1 1 1
Direct
0.000 0.000 0.000 Cs
0.500 0.621 0.621 P
0.500 0.185 0.185 C
0.500 0.341 0.341 Br
```



This record from Alexandria describes an optimized crystal structure of Tl4RhBr. The functional is GGA-PBE.

Space-group type = F-43m, No. 216
Crystal system = cubic
Total DFT energy (no corrections) = -2.6513 eV per atom
Uncorrected formation energy = 2.58 eV per formula unit

POSCAR file:
```
Tl4RhBr
1.0
0.000 4.419 4.419
4.419 0.000 4.419
4.419 4.419 0.000
Tl Rh Br
4 1 1
Direct
0.125 0.125 0.125 Tl
0.125 0.125 0.624 Tl
0.125 0.624 0.125 Tl
0.624 0.125 0.125 Tl
0.500 0.500 0.500 Rh
0.750 0.750 0.750 Br
```



This record from Alexandria describes an optimized crystal structure of PrSm3Dy2. The functional is GGA-PBE.

Space-group type = Immm, No. 71
Crystal system = orthorhombic
E above lowest polymorph = 0.321 eV/atom
Total DFT energy (no corrections) = -4.3554 eV per atom

POSCAR file:
```
PrSm3Dy2
1.0
-1.746 2.989 9.846
1.746 -2.989 9.846
1.746 2.989 -9.846
Pr Sm Dy
1 3 2
Direct
0.000 0.000 0.000 Pr
0.192 0.192 0.000 Sm
0.500 0.000 0.500 Sm
0.808 0.808 0.000 Sm
0.362 0.362 0.000 Dy
0.638 0.638 0.000 Dy
```